# 1
## YTmCCl (PBE-GGA)

Data for a relaxed YTmCCl crystal.

The structure in CIF format:
```
data_YTmCCl
_cell_length_a 3.6152
_cell_length_b 3.6152
_cell_length_c 20.4419
_cell_angle_alpha 90.00
_cell_angle_beta 90.00
_cell_angle_gamma 120.00
_symmetry_space_group_name_H-M 'R 3 m'
_symmetry_Int_Tables_number 160
_symmetry_space_group_name_Hall 'R 3 -2"'
loop_
_atom_site_label
_atom_site_fract_x
_atom_site_fract_y
_atom_site_fract_z
_atom_site_occupancy
Y1 0.0000 0.0000 0.0000 1
Tm1 0.0000 0.0000 0.7909 1
C1 0.0000 0.0000 0.4001 1
Cl1 0.0000 0.0000 0.2265 1
```

Computed properties:
Raw formation energy (eV per atom): -1.089
Spin magnetization (μB/cell): 0.00

=====

# 2
## UCCl (PBE-GGA)

Data for a relaxed UCCl crystal.

The structure in CIF format:
```
data_UCCl
_cell_length_a 3.252
_cell_length_b 3.252
_cell_length_c 10.342
_cell_angle_alpha 90.00
_cell_angle_beta 90.00
_cell_angle_gamma 90.00
_symmetry_space_group_name_H-M 'I 4 m m'
_symmetry_Int_Tables_number 107
_symmetry_space_group_name_Hall 'I 4 -2'
loop_
_atom_site_label
_atom_site_fract_x
_atom_site_fract_y
_atom_site_fract_z
_atom_site_occupancy
U1 0.000 0.000 0.000 1
C1 0.000 0.000 0.539 1
Cl1 0.000 0.000 0.263 1
```

Computed properties:
Raw formation energy (eV per atom): -0.204
Spin magnetization (μB/cell): 1.49

=====

# 3
## UCCl (PBE-GGA)

Data for a relaxed UCCl crystal.

The structure in CIF format:
```
data_UCCl
_cell_length_a 3.780
_cell_length_b 3.780
_cell_length_c 8.227
_cell_angle_alpha 90.00
_cell_angle_beta 90.07
_cell_angle_gamma 90.00
_symmetry_space_group_name_H-M 'P 1 21/m 1'
_symmetry_Int_Tables_number 11
_symmetry_space_group_name_Hall '-P 2yb'
loop_
_atom_site_label
_atom_site_fract_x
_atom_site_fract_y
_atom_site_fract_z
_atom_site_occupancy
U1 0.250 0.250 0.147 1
C1 0.250 0.750 0.000 1
Cl1 0.249 0.250 0.666 1
```

Computed properties:
Raw formation energy (eV per atom): -0.722
Spin magnetization (μB/cell): 2.01

=====

# 4
## V3CCl (PBE-GGA)

Data for a relaxed V3CCl crystal.

The structure in CIF format:
```
data_V3CCl
_cell_length_a 4.053
_cell_length_b 4.053
_cell_length_c 4.053
_cell_angle_alpha 90.00
_cell_angle_beta 90.00
_cell_angle_gamma 90.00
_symmetry_space_group_name_H-M 'P m -3 m'
_symmetry_Int_Tables_number 221
_symmetry_space_group_name_Hall '-P 4 2 3'
loop_
_atom_site_label
_atom_site_fract_x
_atom_site_fract_y
_atom_site_fract_z
_atom_site_occupancy
V1 0.000 0.000 0.500 1
C1 0.000 0.000 0.000 1
Cl1 0.500 0.500 0.500 1
```

Computed properties:
Raw formation energy (eV per atom): 0.392
Spin magnetization (μB/cell): 0.00

=====

# 5
## VC3Cl (PBE-GGA)

Data for a relaxed VC3Cl crystal.

The structure in CIF format:
```
data_VC3Cl
_cell_length_a 3.634
_cell_length_b 3.634
_cell_length_c 3.634
_cell_angle_alpha 90.00
_cell_angle_beta 90.00
_cell_angle_gamma 90.00
_symmetry_space_group_name_H-M 'P m -3 m'
_symmetry_Int_Tables_number 221
_symmetry_space_group_name_Hall '-P 4 2 3'
loop_
_atom_site_label
_atom_site_fract_x
_atom_site_fract_y
_atom_site_fract_z
_atom_site_occupancy
V1 0.000 0.000 0.000 1
C1 0.000 0.500 0.500 1
Cl1 0.500 0.500 0.500 1
```

Computed properties:
Raw formation energy (eV per atom): 3.130
Spin magnetization (μB/cell): 1.31

=====

# 6
## VCCl2 (PBE-GGA)

Data for a relaxed VCCl2 crystal.

The structure in CIF format:
```
data_VCCl2
_cell_length_a 3.0915
_cell_length_b 3.0915
_cell_length_c 23.7652
_cell_angle_alpha 90.00
_cell_angle_beta 90.00
_cell_angle_gamma 120.00
_symmetry_space_group_name_H-M 'R -3 m'
_symmetry_Int_Tables_number 166
_symmetry_space_group_name_Hall '-R 3 2"'
loop_
_atom_site_label
_atom_site_fract_x
_atom_site_fract_y
_atom_site_fract_z
_atom_site_occupancy
V1 0.0000 0.0000 0.0000 1
C1 0.0000 0.0000 0.5000 1
Cl1 0.0000 0.0000 0.4005 1
```

Computed properties:
Raw formation energy (eV per atom): 1.066
Spin magnetization (μB/cell): 2.02

=====

# 7
## V2CCl2 (PBE-GGA)

Data for a relaxed V2CCl2 crystal.

The structure in CIF format:
```
data_V2CCl2
_cell_length_a 4.259
_cell_length_b 4.259
_cell_length_c 8.886
_cell_angle_alpha 90.00
_cell_angle_beta 90.00
_cell_angle_gamma 90.00
_symmetry_space_group_name_H-M 'I 4/m m m'
_symmetry_Int_Tables_number 139
_symmetry_space_group_name_Hall '-I 4 2'
loop_
_atom_site_label
_atom_site_fract_x
_atom_site_fract_y
_atom_site_fract_z
_atom_site_occupancy
V1 0.000 0.500 0.250 1
C1 0.000 0.000 0.000 1
Cl1 0.000 0.000 0.351 1
```

Computed properties:
Raw formation energy (eV per atom): 1.018
Spin magnetization (μB/cell): 4.82

=====

# 8
## VCCl2 (PBE-GGA)

Data for a relaxed VCCl2 crystal.

The structure in CIF format:
```
data_VCCl2
_cell_length_a 8.951
_cell_length_b 8.951
_cell_length_c 3.887
_cell_angle_alpha 90.00
_cell_angle_beta 90.00
_cell_angle_gamma 90.00
_symmetry_space_group_name_H-M 'I -4 2 d'
_symmetry_Int_Tables_number 122
_symmetry_space_group_name_Hall 'I -4 2bw'
loop_
_atom_site_label
_atom_site_fract_x
_atom_site_fract_y
_atom_site_fract_z
_atom_site_occupancy
V1 0.000 0.000 0.000 1
C1 0.000 0.000 0.500 1
Cl1 0.084 0.250 0.125 1
```

Computed properties:
Raw formation energy (eV per atom): 0.320
Spin magnetization (μB/cell): 7.26

=====

# 9
## VCCl2 (PBE-GGA)

Data for a relaxed VCCl2 crystal.

The structure in CIF format:
```
data_VCCl2
_cell_length_a 6.092
_cell_length_b 6.092
_cell_length_c 6.092
_cell_angle_alpha 90.00
_cell_angle_beta 90.00
_cell_angle_gamma 90.00
_symmetry_space_group_name_H-M 'F m -3 m'
_symmetry_Int_Tables_number 225
_symmetry_space_group_name_Hall '-F 4 2 3'
loop_
_atom_site_label
_atom_site_fract_x
_atom_site_fract_y
_atom_site_fract_z
_atom_site_occupancy
V1 0.000 0.000 0.000 1
C1 0.000 0.000 0.500 1
Cl1 0.250 0.250 0.250 1
```

Computed properties:
Raw formation energy (eV per atom): 1.312
Spin magnetization (μB/cell): 4.58

=====

# 10
## V2CCl2 (PBE-GGA)

Data for a relaxed V2CCl2 crystal.

The structure in CIF format:
```
data_V2CCl2
_cell_length_a 6.951
_cell_length_b 6.951
_cell_length_c 2.823
_cell_angle_alpha 90.00
_cell_angle_beta 90.00
_cell_angle_gamma 90.00
_symmetry_space_group_name_H-M 'P 4/m b m'
_symmetry_Int_Tables_number 127
_symmetry_space_group_name_Hall '-P 4 2ab'
loop_
_atom_site_label
_atom_site_fract_x
_atom_site_fract_y
_atom_site_fract_z
_atom_site_occupancy
V1 0.177 0.323 0.000 1
C1 0.000 0.000 0.500 1
Cl1 0.135 0.635 0.500 1
```

Computed properties:
Raw formation energy (eV per atom): 1.191
Spin magnetization (μB/cell): 2.82

=====

# 11
## WC2Cl (PBE-GGA)

Data for a relaxed WC2Cl crystal.

The structure in CIF format:
```
data_WC2Cl
_cell_length_a 5.410
_cell_length_b 5.410
_cell_length_c 9.767
_cell_angle_alpha 90.00
_cell_angle_beta 90.00
_cell_angle_gamma 90.00
_symmetry_space_group_name_H-M 'I -4 2 d'
_symmetry_Int_Tables_number 122
_symmetry_space_group_name_Hall 'I -4 2bw'
loop_
_atom_site_label
_atom_site_fract_x
_atom_site_fract_y
_atom_site_fract_z
_atom_site_occupancy
W1 0.000 0.000 0.000 1
C1 0.130 0.250 0.125 1
Cl1 0.000 0.000 0.500 1
```

Computed properties:
Raw formation energy (eV per atom): 1.414
Spin magnetization (μB/cell): 0.00

=====

# 12
## WC2Cl (PBE-GGA)

Data for a relaxed WC2Cl crystal.

The structure in CIF format:
```
data_WC2Cl
_cell_length_a 5.572
_cell_length_b 5.572
_cell_length_c 5.572
_cell_angle_alpha 90.00
_cell_angle_beta 90.00
_cell_angle_gamma 90.00
_symmetry_space_group_name_H-M 'F m -3 m'
_symmetry_Int_Tables_number 225
_symmetry_space_group_name_Hall '-F 4 2 3'
loop_
_atom_site_label
_atom_site_fract_x
_atom_site_fract_y
_atom_site_fract_z
_atom_site_occupancy
W1 0.000 0.000 0.000 1
C1 0.250 0.250 0.250 1
Cl1 0.000 0.000 0.500 1
```

Computed properties:
Raw formation energy (eV per atom): 2.596
Spin magnetization (μB/cell): 0.00